(1)
Ti3As2H: optimized geometry, PBE.

The structure belongs to space group Pnma (No. 62); the cell edges are 6.802, 3.632 and 13.848 Å and the angles 90.00°, 90.00° and 90.00°. Symmetry generates all atoms from Ti at (0.005, 0.250, 0.106), Ti at (0.134, 0.250, 0.574), Ti at (0.176, 0.750, 0.271), As at (0.089, 0.750, 0.710), As at (0.247, 0.750, 0.454) and H at (0.112, 0.750, 0.134).


(2)
Ti7As2H2: optimized geometry, PBE.

The structure belongs to space group C2/m (No. 12); the cell edges are 6.813, 8.424 and 5.450 Å and the angles 90.00°, 97.44° and 90.00°. Symmetry generates all atoms from Ti at (0.000, 0.000, 0.000), Ti at (0.171, 0.500, 0.650), Ti at (0.176, 0.326, 0.179), As at (0.000, 0.177, 0.500) and H at (0.231, 0.500, 0.998).


(3)
Ti3As2H: optimized geometry, PBE.

The structure belongs to space group C2/c (No. 15); the cell edges are 11.163, 5.086 and 6.915 Å and the angles 90.00°, 113.40° and 90.00°. Symmetry generates all atoms from Ti at (0.000, 0.002, 0.250), Ti at (0.133, 0.496, 0.505), As at (0.182, 0.005, 0.113) and H at (0.000, 0.370, 0.750).


(4)
Ti5As2H: optimized geometry, PBE.

The structure belongs to space group Cmcm (No. 63); the cell edges are 4.459, 11.995 and 10.895 Å and the angles 90.00°, 90.00° and 90.00°. Symmetry generates all atoms from Ti at (0.000, 0.091, 0.126), Ti at (0.000, 0.298, 0.750), Ti at (0.000, 0.310, 0.030), As at (0.000, 0.122, 0.609) and H at (0.000, 0.205, 0.250).


Number 1: density 5717 kg/m³, total DFT energy (no corrections) -6.88 eV per atom. Number 2: density 5214 kg/m³, total DFT energy (no corrections) -6.86 eV per atom. Number 3: density 5428 kg/m³, total DFT energy (no corrections) -6.60 eV per atom. Number 4: density 4448 kg/m³, total DFT energy (no corrections) -6.73 eV per atom.